--- P ---
! AsIrF2 | Alexandria | PBE | relaxed; values from VASP
! - Theoretical density: 9.424 g/cm³
! - Spin magnetization: 1.8 μB per formula unit
&SYSTEM
  ibrav = 0, nat = 4, ntyp = 3
/
ATOMIC_SPECIES
As 74.92 As.upf
Ir 192.22 Ir.upf
F 19.00 F.upf
ATOMIC_POSITIONS angstrom
As 0.000 0.000 0.000
Ir 2.996 2.996 2.996
F 1.498 1.498 1.498
F 4.493 4.493 4.493
CELL_PARAMETERS angstrom
0.000 2.996 2.996
2.996 0.000 2.996
2.996 2.996 0.000



--- Q ---
! AsIrF2 | Alexandria | PBE | relaxed; values from VASP
! - Theoretical density: 8.664 g/cm³
! - Spin magnetization: 1.3 μB per formula unit
&SYSTEM
  ibrav = 0, nat = 4, ntyp = 3
/
ATOMIC_SPECIES
As 74.92 As.upf
Ir 192.22 Ir.upf
F 19.00 F.upf
ATOMIC_POSITIONS angstrom
As 0.000 0.000 0.000
Ir 0.000 0.000 13.618
F 0.000 0.000 1.865
F 0.000 0.000 25.371
CELL_PARAMETERS angstrom
1.364 0.787 9.079
-1.364 0.787 9.079
0.000 -1.575 9.079



Relative energies, in meV/atom, with the most stable structure set to zero: P 693; Q 0.



--- P ---
! AsIrF3 | Alexandria | PBE | relaxed; values from VASP
! - Theoretical density: 6.972 g/cm³
! - Spin magnetization: 2.2 μB per formula unit
&SYSTEM
  ibrav = 0, nat = 5, ntyp = 3
/
ATOMIC_SPECIES
As 74.92 As.upf
Ir 192.22 Ir.upf
F 19.00 F.upf
ATOMIC_POSITIONS angstrom
As 0.000 0.000 0.000
Ir 2.129 2.129 2.129
F 0.000 2.129 2.129
F 2.129 0.000 2.129
F 2.129 2.129 0.000
CELL_PARAMETERS angstrom
4.258 0.000 0.000
0.000 4.258 0.000
0.000 0.000 4.258



--- Q ---
! AsIrF3 | Alexandria | PBE | relaxed; values from VASP
! - Theoretical density: 6.945 g/cm³
! - Spin magnetization: 2.1 μB per formula unit
&SYSTEM
  ibrav = 0, nat = 5, ntyp = 3
/
ATOMIC_SPECIES
As 74.92 As.upf
Ir 192.22 Ir.upf
F 19.00 F.upf
ATOMIC_POSITIONS angstrom
As 0.000 0.000 0.000
Ir 2.132 2.132 2.132
F 0.000 0.000 2.132
F 0.000 2.132 0.000
F 2.132 0.000 0.000
CELL_PARAMETERS angstrom
4.264 0.000 0.000
0.000 4.264 0.000
0.000 0.000 4.264



Relative energies, in meV/atom, with the most stable structure set to zero: P 0; Q 110.



--- P ---
! AsIr3F | Alexandria | PBE | relaxed; values from VASP
! - Theoretical density: 11.442 g/cm³
! - Spin magnetization: 2.4 μB per formula unit
&SYSTEM
  ibrav = 0, nat = 5, ntyp = 3
/
ATOMIC_SPECIES
As 74.92 As.upf
Ir 192.22 Ir.upf
F 19.00 F.upf
ATOMIC_POSITIONS angstrom
As 0.000 0.000 0.000
Ir 0.000 0.000 2.300
Ir 0.000 2.300 0.000
Ir 2.300 0.000 0.000
F 2.300 2.300 2.300
CELL_PARAMETERS angstrom
4.600 0.000 0.000
0.000 4.600 0.000
0.000 0.000 4.600



--- Q ---
! AsIr3F | Alexandria | PBE | relaxed; values from VASP
! - Theoretical density: 13.985 g/cm³
! - Spin magnetization: 0.0 μB per formula unit
&SYSTEM
  ibrav = 0, nat = 5, ntyp = 3
/
ATOMIC_SPECIES
As 74.92 As.upf
Ir 192.22 Ir.upf
F 19.00 F.upf
ATOMIC_POSITIONS angstrom
As 0.000 0.000 0.000
Ir 0.000 2.151 2.151
Ir 2.151 0.000 2.151
Ir 2.151 2.151 0.000
F 2.151 2.151 2.151
CELL_PARAMETERS angstrom
4.302 0.000 0.000
0.000 4.302 0.000
0.000 0.000 4.302



Relative energies, in meV/atom, with the most stable structure set to zero: P 0; Q 44.



--- P ---
! AsIrNF2 | Alexandria | PBE | relaxed; values from VASP
! - Theoretical density: 7.309 g/cm³
! - Spin magnetization: 0.6 μB per formula unit
&SYSTEM
  ibrav = 0, nat = 5, ntyp = 4
/
ATOMIC_SPECIES
As 74.92 As.upf
Ir 192.22 Ir.upf
N 14.01 N.upf
F 19.00 F.upf
ATOMIC_POSITIONS angstrom
As 0.000 0.000 0.000
Ir 2.213 2.213 1.851
N 2.213 2.213 0.000
F 0.000 2.213 1.851
F 2.213 0.000 1.851
CELL_PARAMETERS angstrom
4.426 0.000 0.000
0.000 4.426 0.000
0.000 0.000 3.701



--- Q ---
! AsIrNF2 | Alexandria | PBE | relaxed; values from VASP
! - Theoretical density: 7.694 g/cm³
! - Spin magnetization: 2.1 μB per formula unit
&SYSTEM
  ibrav = 0, nat = 5, ntyp = 4
/
ATOMIC_SPECIES
As 74.92 As.upf
Ir 192.22 Ir.upf
N 14.01 N.upf
F 19.00 F.upf
ATOMIC_POSITIONS angstrom
As 0.000 0.000 0.000
Ir 1.970 1.970 2.218
N 0.000 0.000 2.218
F 0.000 1.970 0.000
F 1.970 0.000 0.000
CELL_PARAMETERS angstrom
3.940 0.000 0.000
0.000 3.940 0.000
0.000 0.000 4.437



Relative energies, in meV/atom, with the most stable structure set to zero: P 0; Q 465.